[1]
A plane-wave DFT calculation with meta-GGA SCAN was carried out for a PBEsol-optimized structure of AlSiSn2.

a b c (Å): 6.945 6.945 6.945
angles (deg): 90.00 90.00 90.00
Positions (direct):
Al 0.000 0.000 0.000
Al 0.000 0.500 0.500
Al 0.500 0.000 0.500
Al 0.500 0.500 0.000
Si 0.000 0.000 0.500
Si 0.000 0.500 0.000
Si 0.500 0.000 0.000
Si 0.500 0.500 0.500
Sn 0.250 0.250 0.250
Sn 0.250 0.250 0.750
Sn 0.250 0.750 0.250
Sn 0.250 0.750 0.750
Sn 0.750 0.250 0.250
Sn 0.750 0.250 0.750
Sn 0.750 0.750 0.250
Sn 0.750 0.750 0.750

Properties
**Density of states at the Fermi level**: 2.33 states/eV/f.u.
**Formation energy without anion corrections**: 184 kJ/mol of formula units
**Crystal system**: cubic

***

[2]
A plane-wave DFT calculation with meta-GGA SCAN was carried out for a PBEsol-optimized structure of K2AlRh.

a b c (Å): 4.449 4.449 5.279
angles (deg): 90.00 90.00 90.00
Positions (direct):
K 0.000 0.000 0.245
K 0.000 0.000 0.755
Al 0.500 0.500 0.500
Rh 0.500 0.500 0.000

Properties
**Formation energy from the elements**: 2.45 eV/f.u.
**Density of states at the Fermi level**: 2.59 states/eV/f.u.
**Crystal system**: tetragonal

***

[3]
A plane-wave DFT calculation with meta-GGA SCAN was carried out for a PBEsol-optimized structure of InAg2.

a b c (Å): 10.593 3.080 6.916
angles (deg): 90.00 102.92 90.00
Positions (direct):
In 0.000 0.000 0.000
In 0.184 0.500 0.364
In 0.500 0.500 0.000
In 0.684 0.000 0.364
Ag 0.125 0.500 0.743
Ag 0.284 0.000 0.075
Ag 0.345 0.000 0.682
Ag 0.459 0.500 0.408
Ag 0.625 0.000 0.743
Ag 0.784 0.500 0.075
Ag 0.845 0.500 0.682
Ag 0.959 0.000 0.408

Properties
**Formation energy from the elements**: 0.00 eV/f.u.
**Density of states at the Fermi level**: 0.71 states/eV/f.u.
**Crystal system**: monoclinic

***

[4]
A plane-wave DFT calculation with meta-GGA SCAN was carried out for a PBEsol-optimized structure of BeIn2Si.

a b c (Å): 6.713 6.713 6.713
angles (deg): 90.00 90.00 90.00
Positions (direct):
Be 0.000 0.000 0.000
Be 0.000 0.500 0.500
Be 0.500 0.000 0.500
Be 0.500 0.500 0.000
In 0.250 0.250 0.250
In 0.250 0.250 0.750
In 0.250 0.750 0.250
In 0.250 0.750 0.750
In 0.750 0.250 0.250
In 0.750 0.250 0.750
In 0.750 0.750 0.250
In 0.750 0.750 0.750
Si 0.000 0.000 0.500
Si 0.000 0.500 0.000
Si 0.500 0.000 0.000
Si 0.500 0.500 0.500

Properties
**ΔE to the lowest computed polymorph**: 1.02 eV per formula unit
**Density of states at the Fermi level**: 1.63 states/eV/f.u.
**Formation energy without anion corrections**: 261 kJ/mol of formula units
**Crystal system**: cubic

***

> Look up the density of states at the Fermi level of the fourth one.

1.63 states/eV/f.u.

***

Copy entry 2 word for word.
A plane-wave DFT calculation with meta-GGA SCAN was carried out for a PBEsol-optimized structure of K2AlRh.

a b c (Å): 4.449 4.449 5.279
angles (deg): 90.00 90.00 90.00
Positions (direct):
K 0.000 0.000 0.245
K 0.000 0.000 0.755
Al 0.500 0.500 0.500
Rh 0.500 0.500 0.000

Properties
**Formation energy from the elements**: 2.45 eV/f.u.
**Density of states at the Fermi level**: 2.59 states/eV/f.u.
**Crystal system**: tetragonal